No. 1
A plane-wave DFT calculation with PBEsol was carried out for a relaxed structure of NaOsO3.

Lattice parameters (Å, degrees): 5.350 5.350 5.350 60.35 60.35 60.35
Fractional coordinates of all 10 atoms:
O 0.250 0.676 0.824
O 0.324 0.176 0.750
O 0.750 0.324 0.176
O 0.176 0.750 0.324
O 0.676 0.824 0.250
O 0.824 0.250 0.676
Na 0.250 0.250 0.250
Na 0.750 0.750 0.750
Os 0.000 0.000 0.000
Os 0.500 0.500 0.500

Output
Density: 8.0 g cm⁻³
Raw total energy: -7.1080 eV per atom
Formation energy (no corrections): -1235.2 meV/atom

=====

No. 2
A plane-wave DFT calculation with PBEsol was carried out for a relaxed structure of NaPr2OsO6.

Lattice parameters (Å, degrees): 5.516 5.958 7.948 90.00 91.02 90.00
Fractional coordinates of all 20 atoms:
O 0.707 0.825 0.551
O 0.835 0.281 0.567
O 0.207 0.675 0.051
O 0.118 0.953 0.732
O 0.165 0.719 0.433
O 0.665 0.781 0.933
O 0.382 0.453 0.768
O 0.618 0.547 0.232
O 0.335 0.219 0.067
O 0.293 0.175 0.449
O 0.882 0.047 0.268
O 0.793 0.325 0.949
Pr 0.522 0.073 0.747
Pr 0.022 0.427 0.247
Pr 0.478 0.927 0.253
Pr 0.978 0.573 0.753
Os 0.500 0.500 0.000
Os 0.000 0.000 0.500
Na 0.000 0.000 0.000
Na 0.500 0.500 0.500

Output
Density: 7.5 g cm⁻³
Raw total energy: -7.8765 eV per atom
Formation energy (no corrections): -2328.4 meV/atom

=====

No. 3
A plane-wave DFT calculation with PBEsol was carried out for a relaxed structure of NaSr2OsO6.

Lattice parameters (Å, degrees): 5.700 5.700 5.700 60.00 60.00 60.00
Fractional coordinates of all 10 atoms:
Os 0.000 0.000 0.000
O 0.233 0.767 0.767
O 0.233 0.233 0.767
O 0.767 0.233 0.767
O 0.767 0.233 0.233
O 0.767 0.767 0.233
O 0.233 0.767 0.233
Na 0.500 0.500 0.500
Sr 0.250 0.250 0.250
Sr 0.750 0.750 0.750

Output
Density: 6.1 g cm⁻³
Raw total energy: -6.8118 eV per atom
Formation energy (no corrections): -1932.6 meV/atom

=====

No. 4
A plane-wave DFT calculation with PBEsol was carried out for a relaxed structure of Na5P3O10.

Lattice parameters (Å, degrees): 5.224 8.422 11.237 92.92 90.00 108.07
Fractional coordinates of all 36 atoms:
O 0.036 0.867 0.194
O 0.974 0.763 0.981
O 0.663 0.301 0.893
O 0.167 0.439 0.852
O 0.584 0.078 0.652
O 0.789 0.763 0.481
O 0.638 0.301 0.393
O 0.728 0.561 0.648
O 0.831 0.867 0.694
O 0.964 0.133 0.806
O 0.362 0.699 0.607
O 0.272 0.439 0.352
O 0.337 0.699 0.107
O 0.026 0.237 0.019
O 0.833 0.561 0.148
O 0.169 0.133 0.306
O 0.416 0.922 0.348
O 0.493 0.078 0.152
O 0.211 0.237 0.519
O 0.507 0.922 0.848
P 0.344 0.293 0.401
P 0.051 0.707 0.099
P 0.656 0.707 0.599
P 0.305 0.000 0.250
P 0.695 0.000 0.750
P 0.949 0.293 0.901
Na 0.109 0.682 0.792
Na 0.427 0.318 0.708
Na 0.000 0.500 0.500
Na 0.891 0.318 0.208
Na 0.300 0.078 0.961
Na 0.778 0.078 0.461
Na 0.500 0.500 0.000
Na 0.700 0.922 0.039
Na 0.222 0.922 0.539
Na 0.573 0.682 0.292

Output
Density: 2.6 g cm⁻³
Raw total energy: -6.5123 eV per atom
Formation energy (no corrections): -2242.0 meV/atom

=====

No. 5
A plane-wave DFT calculation with PBEsol was carried out for a relaxed structure of NaPO2.

Lattice parameters (Å, degrees): 4.737 4.737 6.067 112.98 112.98 90.00
Fractional coordinates of all 8 atoms:
Na 0.750 0.250 0.500
Na 0.500 0.500 0.000
O 0.966 0.375 0.250
O 0.125 0.034 0.750
O 0.625 0.716 0.750
O 0.284 0.875 0.250
P 0.250 0.750 0.500
P 0.000 0.000 0.000

Output
Density: 2.5 g cm⁻³
Raw total energy: -5.4485 eV per atom
Formation energy (no corrections): -1026.1 meV/atom

=====

No. 6
A plane-wave DFT calculation with PBEsol was carried out for a relaxed structure of Na3PO.

Lattice parameters (Å, degrees): 5.303 5.303 5.303 90.00 90.00 90.00
Fractional coordinates of all 5 atoms:
Na 0.000 0.500 0.000
Na 0.000 0.000 0.500
Na 0.500 0.000 0.000
O 0.500 0.500 0.500
P 0.000 0.000 0.000

Output
Density: 1.3 g cm⁻³
Raw total energy: -2.8342 eV per atom
Formation energy (no corrections): 213.8 meV/atom

=====

No. 7
A plane-wave DFT calculation with PBEsol was carried out for a relaxed structure of Na3P4O12.

Lattice parameters (Å, degrees): 8.560 10.041 11.495 90.00 90.42 90.00
Fractional coordinates of all 76 atoms:
O 0.133 0.148 0.197
O 0.314 0.855 0.173
O 0.898 0.320 0.794
O 0.633 0.352 0.697
O 0.102 0.680 0.206
O 0.367 0.648 0.303
O 0.882 0.616 0.076
O 0.124 0.849 0.582
O 0.252 0.372 0.619
O 0.787 0.360 0.215
O 0.618 0.116 0.424
O 0.602 0.820 0.706
O 0.382 0.884 0.576
O 0.319 0.334 0.134
O 0.398 0.180 0.294
O 0.911 0.832 0.440
O 0.086 0.626 0.472
O 0.248 0.872 0.881
O 0.713 0.860 0.285
O 0.865 0.322 0.007
O 0.635 0.822 0.493
O 0.376 0.349 0.918
O 0.819 0.166 0.634
O 0.287 0.140 0.715
O 0.914 0.374 0.528
O 0.752 0.128 0.119
O 0.414 0.126 0.028
O 0.213 0.640 0.785
O 0.814 0.645 0.673
O 0.411 0.668 0.940
O 0.589 0.332 0.060
O 0.365 0.178 0.507
O 0.186 0.355 0.327
O 0.089 0.168 0.560
O 0.681 0.666 0.866
O 0.748 0.628 0.381
O 0.118 0.384 0.924
O 0.586 0.874 0.972
O 0.867 0.852 0.803
O 0.135 0.678 0.993
O 0.029 0.135 0.915
O 0.686 0.145 0.827
O 0.971 0.865 0.085
O 0.529 0.365 0.415
O 0.471 0.635 0.585
O 0.876 0.151 0.418
O 0.624 0.651 0.082
O 0.181 0.834 0.366
P 0.919 0.226 0.529
P 0.419 0.274 0.029
P 0.511 0.780 0.588
P 0.746 0.776 0.389
P 0.246 0.724 0.889
P 0.011 0.720 0.088
P 0.254 0.224 0.611
P 0.081 0.774 0.471
P 0.240 0.253 0.242
P 0.489 0.220 0.412
P 0.989 0.280 0.912
P 0.260 0.753 0.258
P 0.754 0.276 0.111
P 0.581 0.726 0.971
P 0.740 0.247 0.742
P 0.760 0.747 0.758
Na 0.543 0.975 0.164
Na 0.457 0.025 0.836
Na 0.585 0.524 0.244
Na 0.957 0.475 0.336
Na 0.085 0.976 0.744
Na 0.415 0.476 0.756
Na 0.187 0.005 0.045
Na 0.313 0.505 0.455
Na 0.687 0.495 0.545
Na 0.813 0.995 0.955
Na 0.043 0.525 0.664
Na 0.915 0.024 0.256

Output
Density: 2.6 g cm⁻³
Raw total energy: -6.8229 eV per atom
Formation energy (no corrections): -2067.3 meV/atom

=====

No. 8
A plane-wave DFT calculation with PBEsol was carried out for a relaxed structure of Na2P2PbO7.

Lattice parameters (Å, degrees): 5.501 6.925 9.428 106.02 95.87 109.56
Fractional coordinates of all 24 atoms:
Na 0.653 0.374 0.231
Na 0.919 0.720 0.999
Na 0.081 0.280 0.001
Na 0.347 0.626 0.769
Pb 0.865 0.877 0.628
Pb 0.135 0.123 0.372
O 0.496 0.203 0.688
O 0.229 0.029 0.848
O 0.638 0.315 0.470
O 0.668 0.987 0.825
O 0.504 0.797 0.312
O 0.671 0.349 0.977
O 0.787 0.593 0.736
O 0.022 0.700 0.329
O 0.362 0.685 0.530
O 0.213 0.407 0.264
O 0.329 0.651 0.023
O 0.978 0.300 0.671
O 0.771 0.971 0.152
O 0.332 0.013 0.175
P 0.259 0.640 0.363
P 0.481 0.858 0.155
P 0.519 0.142 0.845
P 0.741 0.360 0.637

Output
Density: 4.5 g cm⁻³
Raw total energy: -6.7195 eV per atom
Formation energy (no corrections): -2125.7 meV/atom